VASP calculation (PBE) on a relaxed structure of LaHoRuPt.

Crystal system: cubic
Magnetization, μB per formula unit: 0.0
Energy of formation, kJ/mol of atoms: -63.2
Calculated density, g/cm3: 11.383

Cell: 7.0480 7.0480 7.0480 Å, 90.00 90.00 90.00°
Last column: nearest neighbours and their distance in Å.
Space group F-43m (No. 216)
Asymmetric unit:
La 0.0000 0.0000 0.0000  4 Ru 3.05, 4 Pt 3.05
Ho 0.0000 0.0000 0.5000  4 Pt 3.05, 4 Ru 3.05
Ru 0.2500 0.2500 0.2500  4 Ho 3.05, 4 La 3.05
Pt 0.2500 0.2500 0.7500  4 La 3.05, 4 Ho 3.05